The following is a PBE-GGA calculation of crystalline CaInCo2 at its relaxed geometry, from the Alexandria database.

* crystal system: tetragonal
* ΔH_f (0 K): 0.25 eV per atom
* DOS at the Fermi energy: 4.846 states/eV/f.u.
* volume: 74.3 Å³/cell

Unit cell a=3.411 b=3.415 c=6.381 alpha=90.00 beta=90.00 gamma=90.00
Last column: magnetic moment on the atom in μB.
Element x y z (fractional)
Ca (0.500, 0.500, 0.750)  -0.06
Co (0.000, 0.000, 0.062)  1.36
Co (0.000, 0.000, 0.438)  1.36
In (0.500, 0.500, 0.250)  -0.06

The following is a PBE-GGA calculation of crystalline TiPb3 at its relaxed geometry, from the Alexandria database.

* crystal system: orthorhombic
* ΔH_f (0 K): 0.12 eV per atom
* DOS at the Fermi energy: 3.448 states/eV/f.u.
* volume: 113.1 Å³/cell

Unit cell a=3.231 b=4.861 c=7.772 alpha=108.22 beta=102.00 gamma=90.00
Last column: magnetic moment on the atom in μB.
Element x y z (fractional)
Pb (0.317, 0.734, 0.634)  0.00
Pb (0.500, 0.417, 0.000)  -0.01
Pb (0.683, 0.100, 0.366)  0.00
Ti (0.000, 0.917, 0.000)  0.33

The following is a PBE-GGA calculation of crystalline Si2PRu at its relaxed geometry, from the Alexandria database.

* formation energy without anion corrections: 60.5 kJ/mol of formula units
* crystal system: orthorhombic
* DOS at the Fermi energy: 2.335 states/eV/f.u.
* volume: 54.1 Å³/cell

Unit cell a=3.048 b=3.457 c=5.133 alpha=90.00 beta=90.00 gamma=90.00
Element x y z (fractional)
P (0.500, 0.500, 0.250)
Ru (0.500, 0.500, 0.750)
Si (0.000, 0.000, 0.007)
Si (0.000, 0.000, 0.493)

The following is a PBE-GGA calculation of crystalline SiRh3Au at its relaxed geometry, from the Alexandria database.

* formation energy without anion corrections: 853.7 kJ/mol of formula units
* crystal system: cubic
* DOS at the Fermi energy: 9.200 states/eV/f.u.
* volume: 113.1 Å³/cell
* excess energy over the best structure of this formula in the dataset: 1.480 eV/atom

Unit cell a=4.836 b=4.836 c=4.836 alpha=90.00 beta=90.00 gamma=90.00
Last column: magnetic moment on the atom in μB.
Element x y z (fractional)
Rh (0.000, 0.500, 0.000)  0.11
Rh (0.000, 0.000, 0.500)  0.16
Rh (0.500, 0.000, 0.000)  0.07
Si (0.500, 0.500, 0.500)  -0.01
Au (0.000, 0.000, 0.000)  0.05

Q: What is the DOS at the Fermi energy in the first record?
A: 4.846 states/eV/f.u.

Q: The lowest DOS at the Fermi energy belongs to which entry?
A: Si2PRu